one.
Below is a relaxed structure of ZnIn2Hg, with properties calculated at the GGA-PBEsol level.

Unit cell a=3.259 b=3.259 c=8.198 alpha=90.00 beta=90.00 gamma=90.00
Space group P4/mmm (No. 123)
Unique sites:
Zn: 0.000 0.000 0.000 x1
In: 0.500 0.500 0.228 x2
Hg: 0.000 0.000 0.500 x1

Calculated values
M_tot in μB/atom: 0.00

two.
Below is a relaxed structure of ZnIn2Hg, with properties calculated at the GGA-PBEsol level.

Unit cell a=3.285 b=5.297 c=10.219 alpha=90.00 beta=90.00 gamma=90.00
Space group Imm2 (No. 44)
Unique sites:
Zn: 0.000 0.000 0.000 x2
In: 0.000 0.000 0.509 x2
In: 0.000 0.500 0.730 x2
Hg: 0.000 0.500 0.280 x2

Calculated values
M_tot in μB/atom: 0.00

We find one to be the most stable, with the next structure 0.009 eV/atom higher.

one.
Below is a relaxed structure of Zn2InHg, with properties calculated at the GGA-PBEsol level.

Unit cell a=3.2363 b=3.2363 c=25.6046 alpha=90.00 beta=90.00 gamma=120.00
Space group R3m (No. 160, hexagonal axes)
Unique sites:
Zn: 0.0000 0.0000 0.0000 x3
Zn: 0.0000 0.0000 0.2635 x3
In: 0.0000 0.0000 0.7525 x3
Hg: 0.0000 0.0000 0.5156 x3

Calculated values
M_tot in μB/atom: 0.00

two.
Below is a relaxed structure of Zn2InHg, with properties calculated at the GGA-PBEsol level.

Unit cell a=3.066 b=3.066 c=8.112 alpha=90.00 beta=90.00 gamma=90.00
Space group P4/mmm (No. 123)
Unique sites:
Zn: 0.000 0.000 0.241 x2
In: 0.500 0.500 0.500 x1
Hg: 0.500 0.500 0.000 x1

Calculated values
M_tot in μB/atom: 0.00

three.
Below is a relaxed structure of Zn2InHg, with properties calculated at the GGA-PBEsol level.

Unit cell a=3.717 b=4.218 c=5.243 alpha=90.00 beta=109.37 gamma=90.00
Space group Pm (No. 6)
Unique sites:
Zn: 0.000 0.000 0.000 x1
Zn: 0.135 0.500 0.297 x1
In: 0.426 0.500 0.844 x1
Hg: 0.709 0.000 0.448 x1

Calculated values
M_tot in μB/atom: 0.00

We find three to be the most stable, with the next structure 0.016 eV/atom higher.

one.
Below is a relaxed structure of KHg2Ir, with properties calculated at the GGA-PBEsol level.

Unit cell a=6.929 b=6.929 c=6.929 alpha=90.00 beta=90.00 gamma=90.00
Space group Fm-3m (No. 225)
Unique sites:
K: 0.000 0.000 0.000 x4
Hg: 0.250 0.250 0.250 x8
Ir: 0.000 0.000 0.500 x4

Calculated values
M_tot in μB/atom: 0.00

two.
Below is a relaxed structure of KHg2Ir, with properties calculated at the GGA-PBEsol level.

Unit cell a=3.0392 b=3.0392 c=30.7707 alpha=90.00 beta=90.00 gamma=120.00
Space group R-3m (No. 166, hexagonal axes)
Unique sites:
K: 0.0000 0.0000 0.0000 x3
Hg: 0.0000 0.0000 0.2400 x6
Ir: 0.0000 0.0000 0.5000 x3

Calculated values
M_tot in μB/atom: 0.00

We find two to be the most stable, with the next structure 0.009 eV/atom higher.

one.
Below is a relaxed structure of HgMoIr3, with properties calculated at the GGA-PBEsol level.

Unit cell a=4.777 b=4.777 c=4.777 alpha=90.00 beta=90.00 gamma=90.00
Space group Pm-3m (No. 221)
Unique sites:
Hg: 0.000 0.000 0.000 x1
Mo: 0.500 0.500 0.500 x1
Ir: 0.000 0.000 0.500 x3

Calculated values
M_tot in μB/atom: 0.33

two.
Below is a relaxed structure of HgMoIr3, with properties calculated at the GGA-PBEsol level.

Unit cell a=4.667 b=4.667 c=4.667 alpha=90.00 beta=90.00 gamma=90.00
Space group Pm-3m (No. 221)
Unique sites:
Hg: 0.000 0.000 0.000 x1
Mo: 0.500 0.500 0.500 x1
Ir: 0.000 0.500 0.500 x3

Calculated values
M_tot in μB/atom: 0.00

We find two to be the most stable, with the next structure 1.210 eV/atom higher.

one.
Below is a relaxed structure of NiHg2Ir, with properties calculated at the GGA-PBEsol level.

Unit cell a=2.842 b=4.937 c=9.504 alpha=90.00 beta=90.00 gamma=90.00
Space group Cmm2 (No. 35)
Unique sites:
Ni: 0.000 0.000 0.000 x2
Hg: 0.000 0.000 0.531 x2
Hg: 0.000 0.500 0.235 x2
Ir: 0.000 0.500 0.792 x2

Calculated values
M_tot in μB/atom: 0.02

two.
Below is a relaxed structure of NiHg2Ir, with properties calculated at the GGA-PBEsol level.

Unit cell a=3.998 b=3.998 c=8.002 alpha=90.00 beta=90.00 gamma=90.00
Space group I-4m2 (No. 119)
Unique sites:
Ni: 0.000 0.000 0.000 x2
Hg: 0.000 0.000 0.500 x2
Hg: 0.000 0.500 0.250 x2
Ir: 0.000 0.500 0.750 x2

Calculated values
M_tot in μB/atom: 0.00

We find one to be the most stable, with the next structure 0.022 eV/atom higher.

one.
Below is a relaxed structure of HgPIr2, with properties calculated at the GGA-PBEsol level.

Unit cell a=6.861 b=6.861 c=5.519 alpha=90.00 beta=90.00 gamma=90.00
Space group I-42d (No. 122)
Unique sites:
Hg: 0.000 0.000 0.000 x4
P: 0.000 0.000 0.500 x4
Ir: 0.180 0.750 0.625 x8

Calculated values
M_tot in μB/atom: 0.00

two.
Below is a relaxed structure of HgPIr2, with properties calculated at the GGA-PBEsol level.

Unit cell a=5.921 b=6.899 c=2.984 alpha=90.00 beta=90.00 gamma=90.00
Space group Cmmm (No. 65)
Unique sites:
Hg: 0.000 0.000 0.000 x2
P: 0.000 0.500 0.000 x2
Ir: 0.250 0.250 0.500 x4

Calculated values
M_tot in μB/atom: 0.00

We find one to be the most stable, with the next structure 0.412 eV/atom higher.

one.
Below is a relaxed structure of ReHg2Ir, with properties calculated at the GGA-PBEsol level.

Unit cell a=2.8949 b=2.8949 c=27.6144 alpha=90.00 beta=90.00 gamma=120.00
Space group R-3m (No. 166, hexagonal axes)
Unique sites:
Re: 0.0000 0.0000 0.0000 x3
Hg: 0.0000 0.0000 0.2490 x6
Ir: 0.0000 0.0000 0.5000 x3

Calculated values
M_tot in μB/atom: 0.00

two.
Below is a relaxed structure of ReHg2Ir, with properties calculated at the GGA-PBEsol level.

Unit cell a=6.465 b=6.465 c=6.465 alpha=90.00 beta=90.00 gamma=90.00
Space group Fm-3m (No. 225)
Unique sites:
Re: 0.000 0.000 0.000 x4
Hg: 0.250 0.250 0.250 x8
Ir: 0.000 0.000 0.500 x4

Calculated values
M_tot in μB/atom: 0.57

We find one to be the most stable, with the next structure 0.297 eV/atom higher.

one.
Below is a relaxed structure of HgSbIr, with properties calculated at the GGA-PBEsol level.

Unit cell a=6.346 b=6.346 c=6.346 alpha=90.00 beta=90.00 gamma=90.00
Space group F-43m (No. 216)
Unique sites:
Hg: 0.000 0.000 0.000 x4
Sb: 0.000 0.000 0.500 x4
Ir: 0.250 0.250 0.250 x4

Calculated values
M_tot in μB/atom: 0.00

two.
Below is a relaxed structure of HgSbIr, with properties calculated at the GGA-PBEsol level.

Unit cell a=3.096 b=3.096 c=12.826 alpha=90.00 beta=90.00 gamma=90.00
Space group I4mm (No. 107)
Unique sites:
Hg: 0.000 0.000 0.000 x2
Sb: 0.000 0.000 0.721 x2
Ir: 0.000 0.000 0.345 x2

Calculated values
M_tot in μB/atom: 0.00

three.
Below is a relaxed structure of HgSbIr, with properties calculated at the GGA-PBEsol level.

Unit cell a=3.3787 b=3.3787 c=6.4283 alpha=90.00 beta=90.00 gamma=120.00
Space group P3m1 (No. 156)
Unique sites:
Hg: 0.0000 0.0000 0.0000 x1
Sb: 0.6667 0.3333 0.4180 x1
Ir: 0.3333 0.6667 0.6808 x1

Calculated values
M_tot in μB/atom: 0.00

We find one to be the most stable, with the next structure 0.031 eV/atom higher.

one.
Below is a relaxed structure of HgIr2Se, with properties calculated at the GGA-PBEsol level.

Unit cell a=10.119 b=2.923 c=5.174 alpha=90.00 beta=95.08 gamma=90.00
Space group Cm (No. 8)
Unique sites:
Hg: 0.000 0.000 0.000 x2
Ir: 0.106 0.500 0.441 x2
Ir: 0.389 0.500 0.481 x2
Se: 0.247 0.000 0.718 x2

Calculated values
M_tot in μB/atom: 0.00

two.
Below is a relaxed structure of HgIr2Se, with properties calculated at the GGA-PBEsol level.

Unit cell a=4.224 b=4.224 c=7.261 alpha=90.00 beta=90.00 gamma=90.00
Space group I4/mmm (No. 139)
Unique sites:
Hg: 0.000 0.000 0.000 x2
Ir: 0.000 0.500 0.250 x4
Se: 0.000 0.000 0.500 x2

Calculated values
M_tot in μB/atom: 0.00

We find one to be the most stable, with the next structure 0.328 eV/atom higher.

one.
Below is a relaxed structure of TlHgIr2, with properties calculated at the GGA-PBEsol level.

Unit cell a=2.875 b=4.696 c=10.788 alpha=90.00 beta=90.00 gamma=90.00
Space group Imm2 (No. 44)
Unique sites:
Tl: 0.000 0.000 0.000 x2
Hg: 0.000 0.500 0.203 x2
Ir: 0.000 0.000 0.443 x2
Ir: 0.000 0.500 0.744 x2

Calculated values
M_tot in μB/atom: 0.00

two.
Below is a relaxed structure of TlHgIr2, with properties calculated at the GGA-PBEsol level.

Unit cell a=9.074 b=3.000 c=5.179 alpha=90.00 beta=101.67 gamma=90.00
Space group C2/m (No. 12)
Unique sites:
Tl: 0.000 0.000 0.000 x2
Hg: 0.000 0.500 0.500 x2
Ir: 0.247 0.500 0.259 x4

Calculated values
M_tot in μB/atom: 0.00

three.
Below is a relaxed structure of TlHgIr2, with properties calculated at the GGA-PBEsol level.

Unit cell a=2.8830 b=2.8830 c=30.7405 alpha=90.00 beta=90.00 gamma=120.00
Space group R3m (No. 160, hexagonal axes)
Unique sites:
Tl: 0.0000 0.0000 0.0000 x3
Hg: 0.0000 0.0000 0.2280 x3
Ir: 0.0000 0.0000 0.4828 x3
Ir: 0.0000 0.0000 0.7500 x3

Calculated values
M_tot in μB/atom: 0.00

We find three to be the most stable, with the next structure 0.030 eV/atom higher.

one.
Below is a relaxed structure of K5Hg, with properties calculated at the GGA-PBEsol level.

Unit cell a=5.712 b=17.983 c=6.220 alpha=90.00 beta=90.00 gamma=90.00
Space group Cmmm (No. 65)
Unique sites:
K: 0.000 0.000 0.000 x2
K: 0.000 0.143 0.500 x4
K: 0.000 0.344 0.000 x4
Hg: 0.000 0.500 0.500 x2

Calculated values
M_tot in μB/atom: 0.00

two.
Below is a relaxed structure of K5Hg, with properties calculated at the GGA-PBEsol level.

Unit cell a=15.198 b=4.426 c=10.833 alpha=90.00 beta=113.25 gamma=90.00
Space group Cm (No. 8)
Unique sites:
K: 0.000 0.000 0.000 x2
K: 0.039 0.000 0.402 x2
K: 0.207 0.500 0.845 x2
K: 0.248 0.500 0.248 x2
K: 0.373 0.000 0.624 x2
Hg: 0.373 0.000 0.123 x2

Calculated values
M_tot in μB/atom: 0.00

We find two to be the most stable, with the next structure 0.033 eV/atom higher.

one.
Below is a relaxed structure of KLaHg, with properties calculated at the GGA-PBEsol level.

Unit cell a=3.846 b=3.846 c=15.436 alpha=90.00 beta=90.00 gamma=90.00
Space group I4mm (No. 107)
Unique sites:
K: 0.000 0.000 0.000 x2
La: 0.000 0.000 0.738 x2
Hg: 0.000 0.000 0.340 x2

Calculated values
M_tot in μB/atom: 0.00

two.
Below is a relaxed structure of KLaHg, with properties calculated at the GGA-PBEsol level.

Unit cell a=7.440 b=7.440 c=7.440 alpha=90.00 beta=90.00 gamma=90.00
Space group F-43m (No. 216)
Unique sites:
K: 0.000 0.000 0.000 x4
La: 0.250 0.250 0.750 x4
Hg: 0.000 0.000 0.500 x4

Calculated values
M_tot in μB/atom: 0.00

We find one to be the most stable, with the next structure 0.503 eV/atom higher.

one.
Below is a relaxed structure of KMgHg, with properties calculated at the GGA-PBEsol level.

Unit cell a=7.410 b=7.410 c=7.410 alpha=90.00 beta=90.00 gamma=90.00
Space group F-43m (No. 216)
Unique sites:
K: 0.000 0.000 0.000 x4
Mg: 0.250 0.250 0.250 x4
Hg: 0.000 0.000 0.500 x4

Calculated values
M_tot in μB/atom: 0.00

two.
Below is a relaxed structure of KMgHg, with properties calculated at the GGA-PBEsol level.

Unit cell a=3.823 b=3.823 c=12.701 alpha=90.00 beta=90.00 gamma=90.00
Space group I4mm (No. 107)
Unique sites:
K: 0.000 0.000 0.000 x2
Mg: 0.000 0.000 0.724 x2
Hg: 0.000 0.000 0.301 x2

Calculated values
M_tot in μB/atom: 0.00

We find two to be the most stable, with the next structure 0.263 eV/atom higher.

one.
Below is a relaxed structure of KMnHg, with properties calculated at the GGA-PBEsol level.

Unit cell a=7.174 b=7.174 c=7.174 alpha=90.00 beta=90.00 gamma=90.00
Space group F-43m (No. 216)
Unique sites:
K: 0.000 0.000 0.000 x4
Mn: 0.000 0.000 0.500 x4
Hg: 0.250 0.250 0.750 x4

Calculated values
M_tot in μB/atom: 1.50

two.
Below is a relaxed structure of KMnHg, with properties calculated at the GGA-PBEsol level.

Unit cell a=7.446 b=7.446 c=7.446 alpha=90.00 beta=90.00 gamma=90.00
Space group F-43m (No. 216)
Unique sites:
K: 0.000 0.000 0.000 x4
Mn: 0.250 0.250 0.250 x4
Hg: 0.250 0.250 0.750 x4

Calculated values
M_tot in μB/atom: 1.51

We find one to be the most stable, with the next structure 0.324 eV/atom higher.